Entry 1:
A plane-wave DFT calculation with PBE was carried out for Tm4Pd2O after structural relaxation. Values from VASP.

Properties
symmetry: I4/mmm, No. 139
V: 148.9 Å³/cell
size of the total moment: 0.00 μB per formula unit
uncorrected formation energy: -9.244 eV per formula unit
mass density: 10.09 g/cm³

Structure (Quantum ESPRESSO input):
```
&SYSTEM
  ibrav = 0, nat = 7, ntyp = 3
/
ATOMIC_SPECIES
Tm 168.93 Tm.upf
Pd 106.42 Pd.upf
O 16.00 O.upf
ATOMIC_POSITIONS angstrom
Tm 2.269 0.000 0.000
Tm 0.000 0.000 2.646
Tm 0.000 2.269 0.000
Tm 0.000 0.000 11.822
Pd 0.000 0.000 5.365
Pd 0.000 0.000 9.103
O 0.000 0.000 0.000
CELL_PARAMETERS angstrom
-2.269 2.269 7.234
2.269 -2.269 7.234
2.269 2.269 -7.234
```

***

Entry 2:
A plane-wave DFT calculation with PBE was carried out for ZrSc2Mo after structural relaxation. Values from VASP.

Properties
symmetry: Cm, No. 8
V: 82.8 Å³/cell
size of the total moment: 0.00 μB per formula unit
ΔE to the lowest computed polymorph: 0.1330 eV per atom
mass density: 5.56 g/cm³
formation enthalpy at 0 K: 0.19 eV/atom

Structure (Quantum ESPRESSO input):
```
&SYSTEM
  ibrav = 0, nat = 4, ntyp = 3
/
ATOMIC_SPECIES
Zr 91.22 Zr.upf
Sc 44.96 Sc.upf
Mo 95.94 Mo.upf
ATOMIC_POSITIONS angstrom
Zr 0.000 0.000 0.000
Sc 4.791 0.000 3.029
Sc 7.289 0.000 1.501
Mo 2.214 0.000 4.357
CELL_PARAMETERS angstrom
4.916 -1.480 0.000
4.916 1.480 0.000
-0.271 0.000 5.688
```

***

Entry 3:
A plane-wave DFT calculation with PBE was carried out for SmNi4Au8 after structural relaxation. Values from VASP.

Properties
symmetry: I4/mmm, No. 139
V: 219.5 Å³/cell
size of the total moment: 0.00 μB per formula unit
mass density: 14.83 g/cm³
formation enthalpy at 0 K: -0.20 eV/atom

Structure (Quantum ESPRESSO input):
```
&SYSTEM
  ibrav = 0, nat = 13, ntyp = 3
/
ATOMIC_SPECIES
Sm 150.36 Sm.upf
Ni 58.69 Ni.upf
Au 196.97 Au.upf
ATOMIC_POSITIONS angstrom
Sm 0.000 0.000 0.000
Ni 2.276 2.276 -1.324
Ni 2.276 -2.276 1.324
Ni -2.276 2.276 1.324
Ni 2.276 2.276 1.324
Au 3.046 0.000 0.000
Au 6.058 0.000 0.000
Au 4.552 2.550 0.000
Au 0.000 3.046 0.000
Au 2.550 4.552 0.000
Au 2.002 0.000 2.649
Au 0.000 6.058 0.000
Au 0.000 2.002 2.649
CELL_PARAMETERS angstrom
-4.552 4.552 2.649
4.552 -4.552 2.649
4.552 4.552 -2.649
```

***

Entry 4:
A plane-wave DFT calculation with PBE was carried out for AlGePb2 after structural relaxation. Values from VASP.

Properties
symmetry: I-42d, No. 122
V: 266.3 Å³/cell
size of the total moment: 0.00 μB per formula unit
mass density: 6.41 g/cm³
formation enthalpy at 0 K: 0.34 eV/atom

Structure (Quantum ESPRESSO input):
```
&SYSTEM
  ibrav = 0, nat = 8, ntyp = 3
/
ATOMIC_SPECIES
Al 26.98 Al.upf
Ge 72.64 Ge.upf
Pb 207.20 Pb.upf
ATOMIC_POSITIONS angstrom
Al 0.000 0.000 0.000
Al 0.000 3.256 3.140
Ge 3.256 0.000 3.140
Ge 0.000 0.000 6.280
Pb 1.628 -1.615 4.710
Pb 1.640 1.628 1.570
Pb 1.628 4.871 -1.570
Pb 1.615 1.628 7.851
CELL_PARAMETERS angstrom
-3.256 3.256 6.280
3.256 -3.256 6.280
3.256 3.256 -6.280
```

***

Question: mass density of number 1 (Tm4Pd2O)?
Answer: 10.09 g/cm³

***

Question: Look up the size of the total moment of the fourth one.
Answer: 0.00 μB per formula unit